! YGa3F GGA-PBE relaxed; values from VASP
! Electronic total energy   -4.18 eV/atom
! Excess energy over the best structure of this formula in the dataset   0.0 meV/atom
! Space-group type   Pm-3m, No. 221
! DOS at the Fermi energy   3.6 states/eV per cell
! ΔE_f (raw)   -16.13 kcal/mol of atoms
! Calculated density   5.4 g/cm³
&SYSTEM
  ibrav = 0, nat = 5, ntyp = 3
/
ATOMIC_SPECIES
Y 88.91 Y.upf
Ga 69.72 Ga.upf
F 19.00 F.upf
CELL_PARAMETERS angstrom
4.6002 0.0000 0.0000
0.0000 4.6002 0.0000
0.0000 0.0000 4.6002
ATOMIC_POSITIONS crystal
Y 0.0000 0.0000 0.0000
Ga 0.0000 0.5000 0.5000
Ga 0.5000 0.0000 0.5000
Ga 0.5000 0.5000 0.0000
F 0.5000 0.5000 0.5000



! YGa2F GGA-PBE relaxed; values from VASP
! Electronic total energy   -4.14 eV/atom
! Excess energy over the best structure of this formula in the dataset   576.9 meV/atom
! Space-group type   Fm-3m, No. 225
! DOS at the Fermi energy   1.9 states/eV per cell
! ΔE_f (raw)   -12.56 kcal/mol of atoms
! Calculated density   5.1 g/cm³
&SYSTEM
  ibrav = 0, nat = 4, ntyp = 3
/
ATOMIC_SPECIES
Y 88.91 Y.upf
Ga 69.72 Ga.upf
F 19.00 F.upf
CELL_PARAMETERS angstrom
0.0000 3.4264 3.4264
3.4264 0.0000 3.4264
3.4264 3.4264 0.0000
ATOMIC_POSITIONS crystal
Y 0.0000 0.0000 0.0000
Ga 0.2500 0.2500 0.2500
Ga 0.7500 0.7500 0.7500
F 0.5000 0.5000 0.5000



! Y3GaF GGA-PBE relaxed; values from VASP
! Electronic total energy   -5.87 eV/atom
! Excess energy over the best structure of this formula in the dataset   0.0 meV/atom
! Space-group type   Pm-3m, No. 221
! DOS at the Fermi energy   4.3 states/eV per cell
! ΔE_f (raw)   -23.26 kcal/mol of atoms
! Calculated density   5.3 g/cm³
&SYSTEM
  ibrav = 0, nat = 5, ntyp = 3
/
ATOMIC_SPECIES
Y 88.91 Y.upf
Ga 69.72 Ga.upf
F 19.00 F.upf
CELL_PARAMETERS angstrom
4.8092 0.0000 0.0000
0.0000 4.8092 0.0000
0.0000 0.0000 4.8092
ATOMIC_POSITIONS crystal
Y 0.0000 0.0000 0.5000
Y 0.0000 0.5000 0.0000
Y 0.5000 0.0000 0.0000
Ga 0.5000 0.5000 0.5000
F 0.0000 0.0000 0.0000



! YGaF2 GGA-PBE relaxed; values from VASP
! Electronic total energy   -5.45 eV/atom
! Excess energy over the best structure of this formula in the dataset   74.7 meV/atom
! Space-group type   R-3m, No. 166
! DOS at the Fermi energy   2.2 states/eV per cell
! ΔE_f (raw)   -49.30 kcal/mol of atoms
! Calculated density   4.2 g/cm³
&SYSTEM
  ibrav = 0, nat = 4, ntyp = 3
/
ATOMIC_SPECIES
Y 88.91 Y.upf
Ga 69.72 Ga.upf
F 19.00 F.upf
CELL_PARAMETERS angstrom
1.6242 0.9377 8.5746
-1.6242 0.9377 8.5746
0.0000 -1.8755 8.5746
ATOMIC_POSITIONS crystal
Y 0.0000 0.0000 0.0000
Ga 0.5000 0.5000 0.5000
F 0.3898 0.3898 0.3898
F 0.6102 0.6102 0.6102



! YGaF2 GGA-PBE relaxed; values from VASP
! Electronic total energy   -5.52 eV/atom
! Excess energy over the best structure of this formula in the dataset   0.0 meV/atom
! Space-group type   I-42d, No. 122
! DOS at the Fermi energy   5.4 states/eV per cell
! ΔE_f (raw)   -51.02 kcal/mol of atoms
! Calculated density   3.6 g/cm³
&SYSTEM
  ibrav = 0, nat = 8, ntyp = 3
/
ATOMIC_SPECIES
Y 88.91 Y.upf
Ga 69.72 Ga.upf
F 19.00 F.upf
CELL_PARAMETERS angstrom
-2.5853 2.5853 6.7878
2.5853 -2.5853 6.7878
2.5853 2.5853 -6.7878
ATOMIC_POSITIONS crystal
Y 0.0000 0.0000 0.0000
Y 0.7500 0.2500 0.5000
Ga 0.2500 0.7500 0.5000
Ga 0.5000 0.5000 0.0000
F 0.3750 0.1884 0.3134
F 0.8116 0.1250 0.1866
F 0.8750 0.0616 0.6866
F 0.9384 0.6250 0.8134



! YGaF6 GGA-PBE relaxed; values from VASP
! Electronic total energy   -5.88 eV/atom
! Space-group type   C2/m, No. 12
! DOS at the Fermi energy   0.0 states/eV per cell
! ΔE_f (raw)   -75.88 kcal/mol of atoms
! Calculated density   4.0 g/cm³
&SYSTEM
  ibrav = 0, nat = 8, ntyp = 3
/
ATOMIC_SPECIES
Y 88.91 Y.upf
Ga 69.72 Ga.upf
F 19.00 F.upf
CELL_PARAMETERS angstrom
2.6666 -4.2246 0.0000
2.6666 4.2246 0.0000
-1.0800 0.0000 5.0396
ATOMIC_POSITIONS crystal
Y 0.0000 0.0000 0.0000
Ga 0.5000 0.5000 0.5000
F 0.1490 0.4495 0.2583
F 0.2423 0.2423 0.7083
F 0.4495 0.1490 0.2583
F 0.5505 0.8510 0.7417
F 0.7577 0.7577 0.2917
F 0.8510 0.5505 0.7417



! YGa2F8 GGA-PBE relaxed; values from VASP
! Electronic total energy   -5.36 eV/atom
! Excess energy over the best structure of this formula in the dataset   69.3 meV/atom
! Space-group type   P-3, No. 147
! DOS at the Fermi energy   2.1 states/eV per cell
! ΔE_f (raw)   -65.90 kcal/mol of atoms
! Calculated density   4.0 g/cm³
&SYSTEM
  ibrav = 0, nat = 11, ntyp = 3
/
ATOMIC_SPECIES
Y 88.91 Y.upf
Ga 69.72 Ga.upf
F 19.00 F.upf
CELL_PARAMETERS angstrom
6.7211 0.0000 0.0000
-3.3605 5.8206 0.0000
0.0000 0.0000 4.0550
ATOMIC_POSITIONS crystal
Y 0.0000 0.0000 0.0000
Ga 0.3333 0.6667 0.7382
Ga 0.6667 0.3333 0.2618
F 0.1664 0.3345 0.7396
F 0.1681 0.8336 0.7396
F 0.3333 0.6667 0.2425
F 0.3345 0.1681 0.2604
F 0.6655 0.8319 0.7396
F 0.6667 0.3333 0.7575
F 0.8319 0.1664 0.2604
F 0.8336 0.6655 0.2604



! YGa2F GGA-PBE relaxed; values from VASP
! Electronic total energy   -4.72 eV/atom
! Excess energy over the best structure of this formula in the dataset   0.0 meV/atom
! Space-group type   I-42d, No. 122
! DOS at the Fermi energy   1.2 states/eV per cell
! ΔE_f (raw)   -25.86 kcal/mol of atoms
! Calculated density   4.7 g/cm³
&SYSTEM
  ibrav = 0, nat = 8, ntyp = 3
/
ATOMIC_SPECIES
Y 88.91 Y.upf
Ga 69.72 Ga.upf
F 19.00 F.upf
CELL_PARAMETERS angstrom
-4.4734 4.4734 2.1887
4.4734 -4.4734 2.1887
4.4734 4.4734 -2.1887
ATOMIC_POSITIONS crystal
Y 0.0000 0.0000 0.0000
Y 0.7500 0.2500 0.5000
Ga 0.1863 0.1250 0.5613
Ga 0.3750 0.8137 0.9387
Ga 0.5637 0.6250 0.4387
Ga 0.8750 0.4363 0.0613
F 0.2500 0.7500 0.5000
F 0.5000 0.5000 0.0000



! YGa3F GGA-PBE relaxed; values from VASP
! Electronic total energy   -3.06 eV/atom
! Excess energy over the best structure of this formula in the dataset   1119.1 meV/atom
! Space-group type   Pm-3m, No. 221
! DOS at the Fermi energy   5.1 states/eV per cell
! ΔE_f (raw)   9.68 kcal/mol of atoms
! Calculated density   2.8 g/cm³
&SYSTEM
  ibrav = 0, nat = 5, ntyp = 3
/
ATOMIC_SPECIES
Y 88.91 Y.upf
Ga 69.72 Ga.upf
F 19.00 F.upf
CELL_PARAMETERS angstrom
5.7430 0.0000 0.0000
0.0000 5.7430 0.0000
0.0000 0.0000 5.7430
ATOMIC_POSITIONS crystal
Y 0.0000 0.0000 0.0000
Ga 0.0000 0.0000 0.5000
Ga 0.0000 0.5000 0.0000
Ga 0.5000 0.0000 0.0000
F 0.5000 0.5000 0.5000



! YGaF2 GGA-PBE relaxed; values from VASP
! Electronic total energy   -5.07 eV/atom
! Excess energy over the best structure of this formula in the dataset   454.7 meV/atom
! Space-group type   Fm-3m, No. 225
! DOS at the Fermi energy   3.4 states/eV per cell
! ΔE_f (raw)   -40.53 kcal/mol of atoms
! Calculated density   5.1 g/cm³
&SYSTEM
  ibrav = 0, nat = 4, ntyp = 3
/
ATOMIC_SPECIES
Y 88.91 Y.upf
Ga 69.72 Ga.upf
F 19.00 F.upf
CELL_PARAMETERS angstrom
0.0000 3.1662 3.1662
3.1662 0.0000 3.1662
3.1662 3.1662 0.0000
ATOMIC_POSITIONS crystal
Y 0.0000 0.0000 0.0000
Ga 0.5000 0.5000 0.5000
F 0.2500 0.2500 0.2500
F 0.7500 0.7500 0.7500



! YGa2F8 GGA-PBE relaxed; values from VASP
! Electronic total energy   -5.43 eV/atom
! Excess energy over the best structure of this formula in the dataset   0.0 meV/atom
! Space-group type   C2/m, No. 12
! DOS at the Fermi energy   0.9 states/eV per cell
! ΔE_f (raw)   -67.50 kcal/mol of atoms
! Calculated density   3.8 g/cm³
&SYSTEM
  ibrav = 0, nat = 11, ntyp = 3
/
ATOMIC_SPECIES
Y 88.91 Y.upf
Ga 69.72 Ga.upf
F 19.00 F.upf
CELL_PARAMETERS angstrom
4.3736 -3.6238 0.0000
4.3736 3.6238 0.0000
-0.6980 0.0000 5.2429
ATOMIC_POSITIONS crystal
Y 0.0000 0.0000 0.0000
Ga 0.4208 0.4208 0.7408
Ga 0.5792 0.5792 0.2592
F 0.1534 0.6877 0.7492
F 0.2136 0.2136 0.8219
F 0.3123 0.8466 0.2508
F 0.3682 0.3682 0.3760
F 0.6318 0.6318 0.6240
F 0.6877 0.1534 0.7492
F 0.7864 0.7864 0.1781
F 0.8466 0.3123 0.2508



! Y2ZnGaF GGA-PBE relaxed; values from VASP
! Electronic total energy   -4.81 eV/atom
! Space-group type   P4/mmm, No. 123
! DOS at the Fermi energy   2.0 states/eV per cell
! ΔE_f (raw)   -22.86 kcal/mol of atoms
! Calculated density   5.4 g/cm³
&SYSTEM
  ibrav = 0, nat = 5, ntyp = 4
/
ATOMIC_SPECIES
Y 88.91 Y.upf
Zn 65.41 Zn.upf
Ga 69.72 Ga.upf
F 19.00 F.upf
CELL_PARAMETERS angstrom
4.7962 0.0000 0.0000
0.0000 4.7962 0.0000
0.0000 0.0000 4.4386
ATOMIC_POSITIONS crystal
Y 0.0000 0.5000 0.0000
Y 0.5000 0.0000 0.0000
Zn 0.0000 0.0000 0.5000
Ga 0.5000 0.5000 0.5000
F 0.0000 0.0000 0.0000